--- one ---
Computed, not measured: a geometry-optimized CsTlHg structure at the PBE level of DFT. Values from VASP.

Quantum ESPRESSO input file:
```
&SYSTEM
  ibrav = 0, nat = 6, ntyp = 3
/
ATOMIC_SPECIES
Cs 132.91 Cs.upf
Tl 204.38 Tl.upf
Hg 200.59 Hg.upf
CELL_PARAMETERS angstrom
4.2207 0.0000 0.0000
0.0000 4.2207 0.0000
0.0000 0.0000 13.4682
ATOMIC_POSITIONS angstrom
Cs 0.0000 0.0000 0.0000
Cs 2.1104 2.1104 6.7341
Tl 0.0000 0.0000 3.9129
Tl 2.1104 2.1104 10.6470
Hg 0.0000 0.0000 9.4075
Hg 2.1104 2.1104 2.6734
```

Calculated volume   119.97 Å³/f.u.

--- two ---
Computed, not measured: a geometry-optimized CsTlHg structure at the PBE level of DFT. Values from VASP.

Quantum ESPRESSO input file:
```
&SYSTEM
  ibrav = 0, nat = 6, ntyp = 3
/
ATOMIC_SPECIES
Cs 132.91 Cs.upf
Tl 204.38 Tl.upf
Hg 200.59 Hg.upf
CELL_PARAMETERS angstrom
4.9693 0.0000 0.0000
-2.4843 7.0681 0.0000
-2.4733 -1.5974 7.2784
ATOMIC_POSITIONS angstrom
Cs 0.0055 0.5727 2.1877
Cs 0.0062 4.8980 5.0908
Tl 0.0041 4.6505 0.7492
Tl 0.0076 0.8202 6.5293
Hg -2.4781 1.9228 5.0469
Hg 2.4899 3.5478 2.2316
```

Calculated volume   127.82 Å³/f.u.

Name the least stable of them. one.

--- one ---
Computed, not measured: a geometry-optimized Cs3Tl4Hg4 structure at the PBE level of DFT. Values from VASP.

Quantum ESPRESSO input file:
```
&SYSTEM
  ibrav = 0, nat = 11, ntyp = 3
/
ATOMIC_SPECIES
Cs 132.91 Cs.upf
Tl 204.38 Tl.upf
Hg 200.59 Hg.upf
CELL_PARAMETERS angstrom
5.2512 0.0000 0.0000
-0.0037 5.3451 0.0000
-2.6077 -2.6572 16.0399
ATOMIC_POSITIONS angstrom
Cs 0.0000 0.0000 0.0000
Cs -0.0035 2.6731 4.7825
Cs 2.6434 0.0147 11.2574
Tl 0.0020 0.0153 8.0521
Tl 0.0187 2.6930 12.8622
Tl 2.6212 -0.0051 3.1777
Tl 2.6379 2.6725 7.9878
Hg 0.0159 2.6905 9.7732
Hg 0.0204 0.0184 14.4905
Hg 2.6195 2.6695 1.5494
Hg 2.6239 -0.0027 6.2667
```

Calculated volume   450.21 Å³/f.u.

--- two ---
Computed, not measured: a geometry-optimized Cs3Tl4Hg4 structure at the PBE level of DFT. Values from VASP.

Quantum ESPRESSO input file:
```
&SYSTEM
  ibrav = 0, nat = 11, ntyp = 3
/
ATOMIC_SPECIES
Cs 132.91 Cs.upf
Tl 204.38 Tl.upf
Hg 200.59 Hg.upf
CELL_PARAMETERS angstrom
-2.6217 4.5109 9.0503
2.6217 -4.5109 9.0503
2.6217 4.5109 -9.0503
ATOMIC_POSITIONS angstrom
Cs 0.0000 0.0000 0.0000
Cs 2.6217 0.0000 6.8036
Cs 0.0000 4.5109 2.2467
Tl 2.6217 1.7173 -3.2138
Tl 2.6217 1.7173 3.2138
Tl 0.0000 2.7936 5.8365
Tl 0.0000 2.7936 12.2641
Hg 0.0000 0.0000 3.9682
Hg 2.6217 2.8055 0.0000
Hg 0.0000 1.7054 9.0503
Hg 0.0000 0.0000 14.1323
```

Calculated volume   428.13 Å³/f.u.

Name the least stable of them. one.

--- one ---
Computed, not measured: a geometry-optimized Cs3Tl3Hg2 structure at the PBE level of DFT. Values from VASP.

Quantum ESPRESSO input file:
```
&SYSTEM
  ibrav = 0, nat = 32, ntyp = 3
/
ATOMIC_SPECIES
Cs 132.91 Cs.upf
Tl 204.38 Tl.upf
Hg 200.59 Hg.upf
CELL_PARAMETERS angstrom
10.2340 0.0000 0.0000
0.0000 19.4686 0.0000
0.0000 0.0000 7.2167
ATOMIC_POSITIONS angstrom
Cs 0.3073 2.0597 0.6861
Cs 0.3073 7.6746 0.6861
Cs 1.9349 4.8672 4.3241
Cs 3.1821 14.6015 0.7157
Cs 4.8097 11.7940 4.2944
Cs 4.8097 17.4089 4.2944
Cs 5.4243 2.0597 2.9222
Cs 5.4243 7.6746 2.9222
Cs 7.0519 4.8672 6.5009
Cs 8.2991 14.6015 2.8926
Cs 9.9267 11.7940 6.5306
Cs 9.9267 17.4089 6.5306
Tl 1.6562 14.6015 4.2468
Tl 1.7304 0.7483 4.1788
Tl 1.7304 8.9860 4.1788
Tl 3.3866 10.4826 0.5704
Tl 3.3866 18.7203 0.5704
Tl 3.4608 4.8672 0.6384
Tl 6.7732 14.6015 6.5782
Tl 6.8474 0.7483 6.6462
Tl 6.8474 8.9860 6.6462
Tl 8.5036 10.4826 3.0379
Tl 8.5036 18.7203 3.0379
Tl 8.5778 4.8672 2.9699
Hg 1.1956 11.8039 2.9376
Hg 1.1956 17.3990 2.9376
Hg 3.9214 2.0696 6.5460
Hg 3.9214 7.6647 6.5460
Hg 6.3126 11.8039 0.6707
Hg 6.3126 17.3990 0.6707
Hg 9.0384 2.0696 4.2790
Hg 9.0384 7.6647 4.2790
```

Calculated volume   359.47 Å³/f.u.

--- two ---
Computed, not measured: a geometry-optimized Cs3Tl3Hg2 structure at the PBE level of DFT. Values from VASP.

Quantum ESPRESSO input file:
```
&SYSTEM
  ibrav = 0, nat = 16, ntyp = 3
/
ATOMIC_SPECIES
Cs 132.91 Cs.upf
Tl 204.38 Tl.upf
Hg 200.59 Hg.upf
CELL_PARAMETERS angstrom
2.4749 -7.1834 0.0000
2.4749 7.1834 0.0000
0.0000 0.0000 20.1542
ATOMIC_POSITIONS angstrom
Cs 2.4749 6.6460 12.1596
Cs 2.4749 6.6460 18.0717
Cs 2.4749 2.0876 15.1156
Cs 2.4749 -2.0876 5.0385
Cs 2.4749 -6.6460 2.0825
Cs 2.4749 -6.6460 7.9946
Tl 2.4749 2.5633 10.7650
Tl 2.4749 2.5633 19.4663
Tl 2.4749 2.0260 5.0385
Tl 2.4749 -2.0260 15.1156
Tl 2.4749 -2.5633 0.6879
Tl 2.4749 -2.5633 9.3892
Hg 2.4749 3.5782 2.3808
Hg 2.4749 3.5782 7.6963
Hg 2.4749 -3.5782 12.4579
Hg 2.4749 -3.5782 17.7734
```

Calculated volume   358.31 Å³/f.u.

Name the least stable of them. one.